Entry 1:
Computed, not measured: AgBiS2 after structural relaxation at the GGA-PBE level of DFT.

a b c (Å): 6.5556 4.0808 15.4303
angles (deg): 90.00 90.00 90.00
Fractional coordinates of all 16 atoms:
1 Ag 0.2305 0.2500 0.1786
2 Ag 0.2695 0.7500 0.6786
3 Ag 0.7305 0.2500 0.3214
4 Ag 0.7695 0.7500 0.8214
5 Bi 0.2464 0.7500 0.4444
6 Bi 0.2536 0.2500 0.9444
7 Bi 0.7464 0.7500 0.0556
8 Bi 0.7536 0.2500 0.5556
9 S 0.1405 0.2500 0.5865
10 S 0.1591 0.7500 0.8357
11 S 0.3409 0.2500 0.3357
12 S 0.3595 0.7500 0.0865
13 S 0.6405 0.2500 0.9135
14 S 0.6591 0.7500 0.6643
15 S 0.8409 0.2500 0.1643
16 S 0.8595 0.7500 0.4135

Summary:
**Calculated total energy**: -4.01 eV per atom

***

Entry 2:
Computed, not measured: Ag3BiSb2S6 after structural relaxation at the GGA-PBE level of DFT.

a b c (Å): 7.8667 8.3450 9.0153
angles (deg): 100.25 104.30 90.08
Fractional coordinates of all 24 atoms:
1 Ag 0.0049 0.2454 0.9999
2 Ag 0.1100 0.9244 0.6438
3 Ag 0.2999 0.5792 0.3502
4 Ag 0.7001 0.4208 0.6498
5 Ag 0.8900 0.0756 0.3562
6 Ag 0.9951 0.7546 0.0001
7 Bi 0.4960 0.7477 0.9950
8 Bi 0.5040 0.2523 0.0050
9 Sb 0.1695 0.4167 0.6693
10 Sb 0.3602 0.0854 0.3342
11 Sb 0.6398 0.9146 0.6658
12 Sb 0.8305 0.5833 0.3307
13 S 0.0265 0.8044 0.2990
14 S 0.1420 0.3006 0.2986
15 S 0.2404 0.5176 0.9615
16 S 0.2683 0.9829 0.0401
17 S 0.3732 0.7487 0.6682
18 S 0.4418 0.2594 0.6824
19 S 0.5582 0.7406 0.3176
20 S 0.6268 0.2513 0.3318
21 S 0.7317 0.0171 0.9599
22 S 0.7596 0.4824 0.0385
23 S 0.8580 0.6994 0.7014
24 S 0.9735 0.1956 0.7010

Summary:
**Calculated total energy**: -4.00 eV per atom

***

Entry 3:
Computed, not measured: AgBiSeS after structural relaxation at the GGA-PBE level of DFT.

a b c (Å): 4.5785 4.5785 9.0454
angles (deg): 90.00 90.00 90.00
Fractional coordinates of all 8 atoms:
1 Ag 0.2500 0.7500 0.0000
2 Ag 0.7500 0.2500 0.0000
3 Bi 0.2500 0.2500 0.3319
4 Bi 0.7500 0.7500 0.6681
5 Se 0.2500 0.2500 0.8221
6 Se 0.7500 0.7500 0.1779
7 S 0.2500 0.7500 0.5000
8 S 0.7500 0.2500 0.5000

Summary:
**ΔE to the lowest computed polymorph**: 0 meV/atom
**Calculated total energy**: -3.77 eV per atom

***

Entry 4:
Computed, not measured: AgBiSeS after structural relaxation at the GGA-PBE level of DFT.

a b c (Å): 4.7847 4.7847 8.2079
angles (deg): 90.00 90.00 90.00
Fractional coordinates of all 8 atoms:
1 Ag 0.2500 0.7500 0.0000
2 Ag 0.7500 0.2500 0.0000
3 Bi 0.2500 0.2500 0.3042
4 Bi 0.7500 0.7500 0.6958
5 Se 0.2500 0.7500 0.5000
6 Se 0.7500 0.2500 0.5000
7 S 0.2500 0.2500 0.8499
8 S 0.7500 0.7500 0.1501

Summary:
**ΔE to the lowest computed polymorph**: 112 meV/atom
**Calculated total energy**: -3.65 eV per atom

***

Entry 5:
Computed, not measured: AgBi2Sb after structural relaxation at the GGA-PBE level of DFT.

a b c (Å): 7.5916 7.5916 7.5916
angles (deg): 90.00 90.00 90.00
Fractional coordinates of all 16 atoms:
1 Ag 0.0000 0.0000 0.0000
2 Ag 0.0000 0.5000 0.5000
3 Ag 0.5000 0.0000 0.5000
4 Ag 0.5000 0.5000 0.0000
5 Bi 0.0000 0.0000 0.5000
6 Bi 0.0000 0.5000 0.0000
7 Bi 0.2500 0.2500 0.2500
8 Bi 0.2500 0.7500 0.7500
9 Bi 0.5000 0.0000 0.0000
10 Bi 0.5000 0.5000 0.5000
11 Bi 0.7500 0.2500 0.7500
12 Bi 0.7500 0.7500 0.2500
13 Sb 0.2500 0.2500 0.7500
14 Sb 0.2500 0.7500 0.2500
15 Sb 0.7500 0.2500 0.2500
16 Sb 0.7500 0.7500 0.7500

Summary:
**Calculated total energy**: -3.54 eV per atom

***

Entry 6:
Computed, not measured: AgBiSb after structural relaxation at the GGA-PBE level of DFT.

a b c (Å): 7.1806 7.1806 7.1806
angles (deg): 90.00 90.00 90.00
Fractional coordinates of all 12 atoms:
1 Ag 0.0000 0.0000 0.0000
2 Ag 0.0000 0.5000 0.5000
3 Ag 0.5000 0.0000 0.5000
4 Ag 0.5000 0.5000 0.0000
5 Bi 0.0000 0.0000 0.5000
6 Bi 0.0000 0.5000 0.0000
7 Bi 0.5000 0.0000 0.0000
8 Bi 0.5000 0.5000 0.5000
9 Sb 0.2500 0.2500 0.2500
10 Sb 0.2500 0.7500 0.7500
11 Sb 0.7500 0.2500 0.7500
12 Sb 0.7500 0.7500 0.2500

Summary:
**ΔE to the lowest computed polymorph**: 0 meV/atom
**Calculated total energy**: -3.43 eV per atom

***

Entry 7:
Computed, not measured: SmAgBiSb after structural relaxation at the GGA-PBE level of DFT.

a b c (Å): 4.4827 4.4827 10.4771
angles (deg): 90.00 90.00 90.00
Fractional coordinates of all 8 atoms:
1 Sm 0.2500 0.2500 0.2487
2 Sm 0.7500 0.7500 0.7513
3 Ag 0.2500 0.7500 0.5000
4 Ag 0.7500 0.2500 0.5000
5 Bi 0.2500 0.7500 0.0000
6 Bi 0.7500 0.2500 0.0000
7 Sb 0.2500 0.2500 0.6778
8 Sb 0.7500 0.7500 0.3222

Summary:
**ΔE to the lowest computed polymorph**: 0 meV/atom
**Calculated total energy**: -4.53 eV per atom

***

Entry 8:
Computed, not measured: SmAgBiSb after structural relaxation at the GGA-PBE level of DFT.

a b c (Å): 4.4851 4.4851 10.4250
angles (deg): 90.00 90.00 90.00
Fractional coordinates of all 8 atoms:
1 Sm 0.2500 0.2500 0.2366
2 Sm 0.7500 0.7500 0.7634
3 Ag 0.2500 0.7500 0.5000
4 Ag 0.7500 0.2500 0.5000
5 Bi 0.2500 0.2500 0.6900
6 Bi 0.7500 0.7500 0.3100
7 Sb 0.2500 0.7500 0.0000
8 Sb 0.7500 0.2500 0.0000

Summary:
**ΔE to the lowest computed polymorph**: 41 meV/atom
**Calculated total energy**: -4.49 eV per atom